Material: CeNdTl4
Method: DFT, PBE
State: relaxed

Cell: 6.2709 6.2709 6.2709 Å, 60.00 60.00 60.00°
Last column: magnetic moment on the atom in μB.
Fractional positions:
Tl  0.6251  0.1248  0.6251  0.00
Ce  0.0000  0.0000  0.0000  1.04
Tl  0.6251  0.6251  0.1248  0.00
Tl  0.6251  0.6251  0.6251  0.00
Nd  0.2500  0.2500  0.2500  0.14
Tl  0.1248  0.6251  0.6251  0.00

Properties
Electronic total energy: -20.764 eV/cell
Energy of formation: -0.100 eV per atom
SG: No. 216